Here is an optimized crystal structure of TiMo from Alexandria via LeMat-Bulk. Energies are from PBE-GGA.

a b c (Å): 5.1854 5.2889 9.4680
angles (deg): 90.00 90.00 90.00
With the nearest neighbours (Å) after each atom.
Space group I2_12_12_1 (No. 24)
Asymmetric unit:
1 Ti 0.0013 0.0000 0.2500  4 Ti 2.64-2.78, 6 Mo 2.77-2.92
2 Ti 0.2500 0.3742 0.5000  6 Mo 2.63-2.91, 4 Ti 2.78-2.91
3 Mo 0.0000 0.2500 0.7533  4 Mo 2.65-2.76, 6 Ti 2.80-2.92
4 Mo 0.2500 0.1223 0.0000  6 Ti 2.63-2.91, 4 Mo 2.76-2.92

Computed properties:
- DOS(E_F): 1.30 states/eV per atom
- ΔE_f: 0.1 eV per formula unit
- E_tot: -9.30 eV per atom